(1)
A relaxed Nb2TlBr6 crystal. Source: Alexandria, functional PBE.

## Properties
Calculated total energy   -75.75 eV for the cell shown
Space-group type   No. 15
Crystal system   monoclinic
E_form (uncorrected)   -0.59 eV per atom

abc: 6.6539 9.8583 9.8583
angles: 61.83 82.55 82.55
With the nearest neighbours (Å) after each atom.
Sites, in units of the cell vectors:
Nb  0.2504  0.7161  0.7746  5 Br 2.59-2.66
Nb  0.2496  0.2254  0.2839  5 Br 2.59-2.66
Nb  0.7496  0.2839  0.2254  5 Br 2.59-2.66
Nb  0.7504  0.7746  0.7161  5 Br 2.59-2.66
Tl  0.2500  0.1692  0.8308  6 Br 3.30-3.51
Tl  0.7500  0.8308  0.1692  6 Br 3.30-3.51
Br  0.5466  0.6249  0.6239  2 Nb 2.63
Br  0.9534  0.3761  0.3751  2 Nb 2.63
Br  0.4534  0.3751  0.3761  2 Nb 2.63
Br  0.0466  0.6239  0.6249  2 Nb 2.63
Br  0.7678  0.9881  0.4209  2 Nb 2.63-2.66
Br  0.7322  0.5791  0.0119  2 Nb 2.63-2.66
Br  0.2322  0.0119  0.5791  2 Nb 2.63-2.66
Br  0.2678  0.4209  0.9881  2 Nb 2.63-2.66
Br  0.2033  0.7948  0.9933  1 Nb 2.59
Br  0.2967  0.0067  0.2052  1 Nb 2.59
Br  0.7967  0.2052  0.0067  1 Nb 2.59
Br  0.7033  0.9933  0.7948  1 Nb 2.59

(2)
A relaxed GeIr2NO crystal. Source: Alexandria, functional PBE.

## Properties
Calculated total energy   -27.99 eV for the cell shown
Space-group type   No. 123
Crystal system   tetragonal
E_form (uncorrected)   1.53 eV per atom

abc: 4.0192 4.4716 4.0192
angles: 90.00 90.00 90.00
With the nearest neighbours (Å) after each atom.
Sites, in units of the cell vectors:
Ge  0.0000  0.5000  0.0000  2 O 2.24
Ir  0.0000  0.0000  0.5000  2 O 2.01
Ir  0.5000  0.0000  0.0000  2 O 2.01
O  0.0000  0.0000  0.0000  4 Ir 2.01, 2 Ge 2.24
N  0.5000  0.5000  0.5000  4 Ge 2.84, 8 Ir 3.01

(3)
A relaxed ZrH3Pt crystal. Source: Alexandria, functional PBE.

## Properties
Calculated total energy   -24.06 eV for the cell shown
Space-group type   No. 221
Crystal system   cubic

abc: 3.7102 3.7102 3.7102
angles: 90.00 90.00 90.00
With the nearest neighbours (Å) after each atom.
Sites, in units of the cell vectors:
H  0.0000  0.5000  0.0000  2 Zr 1.86
H  0.0000  0.0000  0.5000  2 Zr 1.86
H  0.5000  0.0000  0.0000  2 Zr 1.86
Zr  0.0000  0.0000  0.0000  6 H 1.86
Pt  0.5000  0.5000  0.5000  12 H 2.62

(4)
A relaxed Ti5Zn4Re crystal. Source: Alexandria, functional PBE.

## Properties
Calculated total energy   -59.63 eV for the cell shown
Space-group type   No. 123
ΔE_f   -261 meV per atom
Crystal system   tetragonal

abc: 3.1679 3.1679 15.4634
angles: 90.00 90.00 90.00
With the nearest neighbours (Å) after each atom.
Sites, in units of the cell vectors:
Ti  0.5000  0.5000  0.0951  4 Re 2.68, 4 Zn 2.75, 1 Ti 2.94
Ti  0.5000  0.5000  0.2987  8 Zn 2.73
Ti  0.5000  0.5000  0.5000  8 Zn 2.72
Ti  0.5000  0.5000  0.7013  8 Zn 2.73
Ti  0.5000  0.5000  0.9049  4 Re 2.68, 4 Zn 2.75, 1 Ti 2.94
Zn  0.0000  0.0000  0.1981  8 Ti 2.73-2.75
Zn  0.0000  0.0000  0.3999  8 Ti 2.72-2.73
Zn  0.0000  0.0000  0.6001  8 Ti 2.72-2.73
Zn  0.0000  0.0000  0.8019  8 Ti 2.73-2.75
Re  0.0000  0.0000  0.0000  8 Ti 2.68

(5)
A relaxed GaTc6C crystal. Source: Alexandria, functional PBE.

## Properties
Calculated total energy   -72.26 eV for the cell shown
Space-group type   No. 2
ΔE_f   274 meV per atom
Crystal system   triclinic

abc: 5.3703 6.2181 5.3052
angles: 67.81 61.00 49.37
With the nearest neighbours (Å) after each atom.
Sites, in units of the cell vectors:
Ga  0.5000  0.5000  0.5000  6 Tc 2.51-2.68
Tc  0.0086  0.4011  0.8190  1 C 2.33, 2 Tc 2.51-2.58
Tc  0.8116  0.9651  0.7426  1 C 2.19
Tc  0.5387  0.1766  0.2883  1 C 1.93
Tc  0.1884  0.0349  0.2574  1 C 2.19
Tc  0.9914  0.5989  0.1810  1 C 2.33, 2 Tc 2.51-2.58
Tc  0.4613  0.8234  0.7117  1 C 1.93
C  0.0000  0.0000  0.0000  2 Tc 1.93

(6)
A relaxed Mg2AlSi crystal. Source: Alexandria, functional PBE.

## Properties
Calculated total energy   -12.13 eV for the cell shown
Space-group type   No. 119
Crystal system   tetragonal
E_form (uncorrected)   0.06 eV per atom

abc: 5.2503 5.2503 5.2503
angles: 134.11 134.11 66.92
With the nearest neighbours (Å) after each atom.
Sites, in units of the cell vectors:
Al  0.7500  0.2500  0.5000  8 Mg 2.89-3.00, 4 Si 3.00
Mg  0.0000  0.0000  0.0000  4 Si 2.89, 4 Mg 3.00, 4 Al 3.00
Mg  0.2500  0.7500  0.5000  4 Al 2.89, 4 Si 3.00, 4 Mg 3.00
Si  0.5000  0.5000  0.0000  8 Mg 2.89-3.00, 4 Al 3.00

(7)
A relaxed SrGaN2 crystal. Source: Alexandria, functional PBE.

## Properties
Calculated total energy   -21.16 eV for the cell shown
Space-group type   No. 166
Energy above the lowest structure with this stoichiometry   280 meV per atom
Crystal system   trigonal
E_form (uncorrected)   0.05 eV per atom

abc: 6.5530 6.5530 6.5530
angles: 35.25 35.25 35.25
With the nearest neighbours (Å) after each atom.
Sites, in units of the cell vectors:
Sr  0.5000  0.5000  0.5000  6 N 2.64
Ga  0.0000  0.0000  0.0000  2 N 1.75
N  0.9048  0.9048  0.9048  1 Ga 1.75
N  0.0952  0.0952  0.0952  1 Ga 1.75

(8)
A relaxed ThZrSi2Rh5 crystal. Source: Alexandria, functional PBE.

## Properties
Calculated total energy   -69.44 eV for the cell shown
Space-group type   No. 123
Crystal system   tetragonal
E_form (uncorrected)   -0.65 eV per atom

abc: 4.0125 4.0125 10.7915
angles: 90.00 90.00 90.00
With the nearest neighbours (Å) after each atom.
Sites, in units of the cell vectors:
Th  0.0000  0.0000  0.5000  4 Rh 2.84
Zr  0.0000  0.0000  0.0000  8 Rh 2.74
Si  0.5000  0.5000  0.2825  5 Rh 2.33-2.35
Si  0.5000  0.5000  0.7175  5 Rh 2.33-2.35
Rh  0.0000  0.5000  0.1734  2 Si 2.33
Rh  0.5000  0.0000  0.1734  2 Si 2.33
Rh  0.0000  0.5000  0.8266  2 Si 2.33
Rh  0.5000  0.0000  0.8266  2 Si 2.33
Rh  0.5000  0.5000  0.5000  2 Si 2.35

(9)
A relaxed NaV2Ga crystal. Source: Alexandria, functional PBE.

## Properties
Calculated total energy   -38.37 eV for the cell shown
Space-group type   No. 122
ΔE_f   850 meV per atom
Crystal system   tetragonal

abc: 3.9896 3.9896 10.1545
angles: 78.67 78.67 90.00
With the nearest neighbours (Å) after each atom.
Sites, in units of the cell vectors:
Na  0.5000  0.5000  0.0000  4 Ga 2.82, 4 V 3.08
Na  0.2500  0.7500  0.5000  4 Ga 2.82, 4 V 3.08
Ga  0.0000  0.0000  0.0000  4 V 2.66, 4 Na 2.82
Ga  0.7500  0.2500  0.5000  4 V 2.66, 4 Na 2.82
V  0.7771  0.1250  0.2500  2 V 2.14
V  0.9729  0.6250  0.2500  2 V 2.14
V  0.3750  0.2229  0.7500  2 V 2.14
V  0.8750  0.0271  0.7500  2 V 2.14

(10)
A relaxed TlRe2Cl crystal. Source: Alexandria, functional PBE.

## Properties
Calculated total energy   -27.71 eV for the cell shown
Space-group type   No. 99
Energy above the lowest structure with this stoichiometry   130 meV per atom
Crystal system   tetragonal
E_form (uncorrected)   0.35 eV per atom

abc: 2.9926 2.9926 8.8888
angles: 90.00 90.00 90.00
With the nearest neighbours (Å) after each atom.
Sites, in units of the cell vectors:
Cl  0.5000  0.5000  0.8198  4 Re 2.81, 4 Cl 2.99
Re  0.0000  0.0000  0.0272  4 Re 2.60, 4 Cl 2.81
Re  0.5000  0.5000  0.1965  4 Re 2.60
Tl  0.0000  0.0000  0.4565  4 Tl 2.99, 4 Re 3.13

(11)
A relaxed AgAs4P crystal. Source: Alexandria, functional PBE.

## Properties
Calculated total energy   -22.82 eV for the cell shown
Space-group type   No. 216
ΔE_f   674 meV per atom
Crystal system   cubic

abc: 5.5297 5.5297 5.5297
angles: 60.00 60.00 60.00
With the nearest neighbours (Å) after each atom.
Sites, in units of the cell vectors:
Ag  0.0000  0.0000  0.0000  12 As 3.24, 4 P 3.39
As  0.8735  0.3755  0.3755  6 As 2.75-2.78
As  0.3755  0.3755  0.8735  6 As 2.75-2.78
As  0.3755  0.8735  0.3755  6 As 2.75-2.78
As  0.3755  0.3755  0.3755  6 As 2.75-2.78
P  0.7500  0.7500  0.7500  12 As 3.24, 4 Ag 3.39

(12)
A relaxed Ho3Tm6Mg crystal. Source: Alexandria, functional PBE.

## Properties
Calculated total energy   -81.60 eV for the cell shown
Space-group type   No. 36
Energy above the lowest structure with this stoichiometry   112 meV per atom
ΔE_f   136 meV per atom
Crystal system   orthorhombic

abc: 8.7682 8.8085 8.8085
angles: 117.51 90.00 90.00
With the nearest neighbours (Å) after each atom.
Sites, in units of the cell vectors:
Ho  0.4288  0.9690  0.6749  5 Tm 3.21-3.51, 2 Ho 3.25-3.34
Ho  0.9288  0.6749  0.9690  5 Tm 3.21-3.51, 2 Ho 3.25-3.34
Ho  0.4093  0.5433  0.4567  7 Tm 3.33-3.65, 2 Ho 3.34, 1 Mg 3.66
Ho  0.9093  0.4567  0.5433  7 Tm 3.33-3.65, 2 Ho 3.34, 1 Mg 3.66
Ho  0.9288  0.0310  0.3251  5 Tm 3.21-3.51, 2 Ho 3.25-3.34
Ho  0.4288  0.3251  0.0310  5 Tm 3.21-3.51, 2 Ho 3.25-3.34
Tm  0.0989  0.8265  0.7041  3 Ho 3.21-3.51, 4 Tm 3.25-3.49, 1 Mg 3.31
Tm  0.5989  0.7041  0.8265  3 Ho 3.21-3.51, 4 Tm 3.25-3.49, 1 Mg 3.31
Tm  0.2698  0.5238  0.8233  3 Tm 3.17-3.29, 1 Mg 3.25, 3 Ho 3.28-3.53
Tm  0.7698  0.8233  0.5238  3 Tm 3.17-3.29, 1 Mg 3.25, 3 Ho 3.28-3.53
Tm  0.2842  0.9405  0.0595  7 Tm 3.25-3.56, 1 Mg 3.28
Tm  0.6676  0.2856  0.7144  1 Mg 3.31, 3 Ho 3.34-3.37, 3 Tm 3.40-3.56
Tm  0.1676  0.7144  0.2856  1 Mg 3.31, 3 Ho 3.34-3.37, 3 Tm 3.40-3.56
Tm  0.7842  0.0595  0.9405  7 Tm 3.25-3.56, 1 Mg 3.28
Tm  0.2698  0.1767  0.4762  3 Tm 3.17-3.29, 1 Mg 3.25, 3 Ho 3.28-3.53
Tm  0.7698  0.4762  0.1767  3 Tm 3.17-3.29, 1 Mg 3.25, 3 Ho 3.28-3.53
Tm  0.0989  0.2959  0.1735  3 Ho 3.21-3.51, 4 Tm 3.25-3.49, 1 Mg 3.31
Tm  0.5989  0.1735  0.2959  3 Ho 3.21-3.51, 4 Tm 3.25-3.49, 1 Mg 3.31
Mg  0.0294  0.2238  0.7762  6 Tm 3.25-3.31, 2 Ho 3.64
Mg  0.5294  0.7762  0.2238  6 Tm 3.25-3.31, 2 Ho 3.64